Here is a relaxed structure of ZrCuC2 from OQMD. Energies are from PBE-GGA.

Cell lengths 3.440, 3.440, 8.628 Å; angles 90.00, 90.00, 120.00 degrees
Positions (direct):
1 C 0.667 0.333 0.167
2 C 0.333 0.667 0.833
3 Zr 0.000 0.000 0.500
4 Cu 0.333 0.667 0.250
5 Zr 0.000 0.000 0.000
6 C 0.333 0.667 0.667
7 C 0.667 0.333 0.333
8 Cu 0.667 0.333 0.750

## Properties
* size of the total moment: 0.00 μB/f.u.
* raw total energy: -7.50 eV per atom